1.
Crystalline Mn2BeHg at its relaxed geometry, computed with GGA-PBE.

## Properties
energy above the lowest structure with this stoichiometry: 41 meV per atom
ρ: 9.54 g/cm3
energy of formation: 0.269 eV per atom

Structure (CIF):
```
data_Mn2BeHg
_chemical_formula_sum 'Mn2 Be1 Hg1'
_space_group_name_H-M_alt 'P 1 m 1'
_space_group_IT_number 6
_space_group_name_Hall 'P -2y'
_cell_length_a 2.830
_cell_length_b 3.072
_cell_length_c 6.545
_cell_angle_alpha 90.00
_cell_angle_beta 102.26
_cell_angle_gamma 90.00
loop_
_atom_site_label
_atom_site_type_symbol
_atom_site_fract_x
_atom_site_fract_y
_atom_site_fract_z
Mn1 Mn 0.000 0.000 0.000
Mn2 Mn 0.395 0.500 0.786
Be1 Be 0.582 0.500 0.166
Hg1 Hg 0.742 0.000 0.474
```

***

2.
Crystalline FeNiIrRu at its relaxed geometry, computed with GGA-PBE.

## Properties
ρ: 13.16 g/cm3
energy of formation: 0.103 eV per atom

Structure (CIF):
```
data_FeNiIrRu
_chemical_formula_sum 'Fe4 Ni4 Ir4 Ru4'
_space_group_name_H-M_alt 'F -4 3 m'
_space_group_IT_number 216
_space_group_name_Hall 'F -4 2 3'
_cell_length_a 5.904
_cell_length_b 5.904
_cell_length_c 5.904
_cell_angle_alpha 90.00
_cell_angle_beta 90.00
_cell_angle_gamma 90.00
loop_
_atom_site_label
_atom_site_type_symbol
_atom_site_fract_x
_atom_site_fract_y
_atom_site_fract_z
Fe1 Fe 0.000 0.000 0.000
Ni1 Ni 0.000 0.000 0.500
Ir1 Ir 0.250 0.250 0.250
Ru1 Ru 0.250 0.250 0.750
```

***

3.
Crystalline RbHg3Pd at its relaxed geometry, computed with GGA-PBE.

## Properties
energy above the lowest structure with this stoichiometry: 272 meV per atom
ρ: 6.03 g/cm3
energy of formation: 0.016 eV per atom

Structure (CIF):
```
data_RbHg3Pd
_chemical_formula_sum 'Rb2 Hg6 Pd2'
_space_group_name_H-M_alt 'A m m 2'
_space_group_IT_number 38
_space_group_name_Hall 'A 2 -2'
_cell_length_a 4.303
_cell_length_b 6.158
_cell_length_c 16.494
_cell_angle_alpha 90.00
_cell_angle_beta 90.00
_cell_angle_gamma 90.00
loop_
_atom_site_label
_atom_site_type_symbol
_atom_site_fract_x
_atom_site_fract_y
_atom_site_fract_z
Rb1 Rb 0.000 0.000 0.000
Hg1 Hg 0.000 0.234 0.192
Hg2 Hg 0.500 0.000 0.826
Pd1 Pd 0.500 0.000 0.658
```

***

4.
Crystalline TaRuW2 at its relaxed geometry, computed with GGA-PBE.

## Properties
energy above the lowest structure with this stoichiometry: 806 meV per atom
ρ: 15.38 g/cm3
energy of formation: 0.729 eV per atom

Structure (CIF):
```
data_TaRuW2
_chemical_formula_sum 'Ta4 Ru4 W8'
_space_group_name_H-M_alt 'I -4 2 d'
_space_group_IT_number 122
_space_group_name_Hall 'I -4 2bw'
_cell_length_a 7.324
_cell_length_b 7.324
_cell_length_c 5.231
_cell_angle_alpha 90.00
_cell_angle_beta 90.00
_cell_angle_gamma 90.00
loop_
_atom_site_label
_atom_site_type_symbol
_atom_site_fract_x
_atom_site_fract_y
_atom_site_fract_z
Ta1 Ta 0.000 0.000 0.000
Ru1 Ru 0.000 0.000 0.500
W1 W 0.228 0.250 0.625
```

***

5.
Crystalline TePb2O at its relaxed geometry, computed with GGA-PBE.

## Properties
energy above the lowest structure with this stoichiometry: 0 meV per atom
ρ: 7.45 g/cm3

Structure (CIF):
```
data_TePb2O
_chemical_formula_sum 'Te4 Pb8 O4'
_space_group_name_H-M_alt 'P n a 21'
_space_group_IT_number 33
_space_group_name_Hall 'P 2c -2n'
_cell_length_a 6.155
_cell_length_b 12.003
_cell_length_c 6.730
_cell_angle_alpha 90.00
_cell_angle_beta 90.00
_cell_angle_gamma 90.00
loop_
_atom_site_label
_atom_site_type_symbol
_atom_site_fract_x
_atom_site_fract_y
_atom_site_fract_z
Te1 Te 0.241 0.092 0.000
Pb1 Pb 0.238 0.117 0.525
Pb2 Pb 0.239 0.335 0.188
O1 O 0.010 0.750 0.925
```

***

6.
Crystalline AlZnRuO6 at its relaxed geometry, computed with GGA-PBE.

## Properties
energy: -6.26 eV/atom
ρ: 5.08 g/cm3

Structure (CIF):
```
data_AlZnRuO6
_chemical_formula_sum 'Al2 Zn2 Ru2 O12'
_space_group_name_H-M_alt 'P -3 1 c'
_space_group_IT_number 163
_space_group_name_Hall '-P 3 2c'
_cell_length_a 4.9647
_cell_length_b 4.9647
_cell_length_c 8.8733
_cell_angle_alpha 90.00
_cell_angle_beta 90.00
_cell_angle_gamma 120.00
loop_
_atom_site_label
_atom_site_type_symbol
_atom_site_fract_x
_atom_site_fract_y
_atom_site_fract_z
Al1 Al 0.3333 0.6667 0.2500
Zn1 Zn 0.0000 0.0000 0.0000
Ru1 Ru 0.3333 0.6667 0.7500
O1 O 0.0023 0.3563 0.1339
```

***

7.
Crystalline LaZr4Ni at its relaxed geometry, computed with GGA-PBE.

## Properties
ρ: 6.47 g/cm3
energy of formation: 0.499 eV per atom

Structure (CIF):
```
data_LaZr4Ni
_chemical_formula_sum 'La4 Zr16 Ni4'
_space_group_name_H-M_alt 'F -4 3 m'
_space_group_IT_number 216
_space_group_name_Hall 'F -4 2 3'
_cell_length_a 8.327
_cell_length_b 8.327
_cell_length_c 8.327
_cell_angle_alpha 90.00
_cell_angle_beta 90.00
_cell_angle_gamma 90.00
loop_
_atom_site_label
_atom_site_type_symbol
_atom_site_fract_x
_atom_site_fract_y
_atom_site_fract_z
La1 La 0.000 0.000 0.000
Zr1 Zr 0.125 0.125 0.375
Ni1 Ni 0.250 0.250 0.750
```

***

8.
Crystalline Ac2SiPd6Pt at its relaxed geometry, computed with GGA-PBE.

## Properties
energy: -5.81 eV/atom
ρ: 10.50 g/cm3

Structure (CIF):
```
data_Ac2SiPd6Pt
_chemical_formula_sum 'Ac12 Si6 Pd36 Pt6'
_space_group_name_H-M_alt 'R -3 m'
_space_group_IT_number 166
_space_group_name_Hall '-R 3 2"'
_cell_length_a 6.4927
_cell_length_b 6.4927
_cell_length_c 34.1799
_cell_angle_alpha 90.00
_cell_angle_beta 90.00
_cell_angle_gamma 120.00
loop_
_atom_site_label
_atom_site_type_symbol
_atom_site_fract_x
_atom_site_fract_y
_atom_site_fract_z
Ac1 Ac 0.0000 0.0000 0.1109
Ac2 Ac 0.0000 0.0000 0.2827
Si1 Si 0.0000 0.0000 0.0000
Si2 Si 0.0000 0.0000 0.5000
Pd1 Pd 0.0437 0.5219 0.3027
Pd2 Pd 0.0606 0.5303 0.8618
Pt1 Pt 0.0000 0.0000 0.4268
```

***

- Number 5 is which compound?
  TePb2O